[1]
Here is Y3Co after structural relaxation from Alexandria. Energies are from GGA-PBEsol.

```
4
Lattice="-0.932 2.888 -1.724 -1.908 -2.942 -3.896 -3.308 -0.072 5.200" Properties=species:S:1:pos:R:3 pbc="T T T"
Co -0.954 -1.471 -1.948
Y -2.923 -0.061 1.477
Y -0.466 1.444 -0.862
Y -3.225 -0.064 -1.898
```

## Properties
Its formation enthalpy at 0 K is -52 meV/atom. Its total energy is -28.410 eV per formula unit. The space group is Immm, No. 71.

***

[2]
Here is K2TiF5 after structural relaxation from Alexandria. Energies are from GGA-PBEsol.

```
32
Lattice="-3.093 -4.887 -1.488 2.378 -3.428 6.315 -8.473 3.768 5.236" Properties=species:S:1:pos:R:3 pbc="T T T"
F -1.692 -5.520 2.759
F -2.535 -1.292 0.504
F -1.477 -2.816 3.313
F -3.747 -1.417 9.463
F -2.305 -2.997 7.731
F -4.804 0.108 6.654
F -4.384 -4.655 3.409
F 0.521 -4.466 4.183
F -6.653 -3.256 9.560
F -9.709 -0.081 5.880
F -7.496 0.972 7.305
F -0.808 -6.794 5.106
F -5.163 -5.070 5.996
F -5.441 -3.130 0.600
F -5.999 -2.825 4.680
F -8.380 2.247 4.957
F -3.189 -1.723 5.384
F -4.025 0.523 4.067
F -7.711 -1.731 6.750
F -6.883 -1.550 2.332
K -2.551 -4.299 5.431
K -0.183 -2.221 5.667
K -8.576 -4.140 7.786
K -9.005 -2.326 4.396
K -0.612 -0.408 2.277
K -4.068 -2.002 2.713
K -6.637 -0.248 4.633
K -5.120 -2.545 7.350
Ti -4.237 1.884 2.618
Ti -1.546 -2.444 -0.744
Ti -3.048 0.170 5.776
Ti -0.357 -4.158 2.414
```

## Properties
Its total energy is -45.066 eV per formula unit. The space group is Pnma, No. 62. For the uncorrected formation energy, the calculation gives -3.11 eV per atom.

***

[3]
Here is BaHfTc2 after structural relaxation from Alexandria. Energies are from GGA-PBEsol.

```
4
Lattice="4.793 0.000 0.000 2.397 4.151 0.000 2.397 1.384 3.914" Properties=species:S:1:pos:R:3 pbc="T T T"
Ba 0.000 0.000 0.000
Hf 4.793 2.767 1.957
Tc 7.190 4.151 2.935
Tc 2.397 1.384 0.978
```

## Properties
Its formation enthalpy at 0 K is 816 meV/atom. Its total energy is -31.922 eV per formula unit. The space group is Fm-3m, No. 225.

***

[4]
Here is SrTaSb after structural relaxation from Alexandria. Energies are from GGA-PBEsol.

```
3
Lattice="-0.297 -0.038 3.680 -3.652 -0.454 -0.299 2.690 -5.503 -1.692" Properties=species:S:1:pos:R:3 pbc="T T T"
Sr 0.474 -3.811 -0.001
Sb 0.059 -0.475 0.000
Ta -1.793 -1.710 1.690
```

## Properties
Its total energy is -18.560 eV per formula unit. The space group is I4mm, No. 107. For the uncorrected formation energy, the calculation gives 0.13 eV per atom.

***

[5]
Here is AgAsOs2 after structural relaxation from Alexandria. Energies are from GGA-PBEsol.

```
4
Lattice="2.812 0.000 0.000 0.000 2.812 0.000 0.000 0.000 7.992" Properties=species:S:1:pos:R:3 pbc="T T T"
Ag 0.000 0.000 3.846
Os 0.000 0.000 0.100
Os 1.406 1.406 1.776
As 1.406 1.406 6.267
```

## Properties
Its formation enthalpy at 0 K is 346 meV/atom. Its total energy is -31.464 eV per formula unit. The space group is P4mm, No. 99.

***

[6]
Here is LiMn2NiO6 after structural relaxation from Alexandria. Energies are from GGA-PBEsol.

```
10
Lattice="2.857 0.020 0.009 0.192 5.770 0.037 1.420 1.692 6.090" Properties=species:S:1:pos:R:3 pbc="T T T"
O 3.610 5.276 3.268
O 2.221 6.555 4.976
O 0.859 2.206 2.867
O 2.235 3.433 0.939
O 2.248 0.928 1.159
O 2.234 4.049 5.197
Mn 0.804 2.127 1.000
Mn 3.665 5.355 5.135
Li 2.234 3.741 3.068
Ni 2.138 0.856 3.049
```

## Properties
Its total energy is -74.023 eV per formula unit. The space group is P-1, No. 2. For the uncorrected formation energy, the calculation gives -1.49 eV per atom.

***

[7]
Here is MgTc2Os after structural relaxation from Alexandria. Energies are from GGA-PBEsol.

```
4
Lattice="2.677 0.000 0.000 -1.140 2.422 0.000 0.000 0.000 9.139" Properties=species:S:1:pos:R:3 pbc="T T T"
Tc 0.000 0.000 6.935
Tc 0.000 0.000 2.204
Os 0.769 1.211 0.000
Mg 0.769 1.211 4.570
```

## Properties
Its formation enthalpy at 0 K is 393 meV/atom. Its total energy is -34.893 eV per formula unit. The space group is Cmmm, No. 65.

***

[8]
Here is MnFe2Co after structural relaxation from Alexandria. Energies are from GGA-PBEsol.

```
4
Lattice="2.782 0.000 0.000 0.000 2.782 0.000 0.000 0.000 5.588" Properties=species:S:1:pos:R:3 pbc="T T T"
Mn 0.000 0.000 2.771
Fe 1.391 1.391 1.405
Fe 0.000 0.000 0.006
Co 1.391 1.391 4.200
```

## Properties
Its formation enthalpy at 0 K is 70 meV/atom. Its total energy is -35.146 eV per formula unit. The space group is P4mm, No. 99.